The following is a DFT calculation (PBE) of crystalline ThBrO at its relaxed geometry.

Total energy in eV/f.u.: -21.261
SG: Pnma
D(E_F) in states/eV per atom: 0.059
ΔE_f (raw) in kcal/mol of atoms: -55.43
Volume in Å³/atom: 23.4

Cell and atoms, written as POSCAR:
```
ThBrO
1.0
6.4566 0.0000 0.0000
0.0000 4.1760 0.0000
0.0000 0.0000 10.4029
Th Br O
4 4 4
Direct
0.1530 0.2500 0.1184
0.3470 0.7500 0.6184
0.6530 0.2500 0.3816
0.8470 0.7500 0.8816
0.0711 0.7500 0.3527
0.4289 0.2500 0.8527
0.5711 0.7500 0.1473
0.9289 0.2500 0.6473
0.1004 0.7500 0.0398
0.3996 0.2500 0.5398
0.6004 0.7500 0.4602
0.8996 0.2500 0.9602
```

The following is a DFT calculation (PBE) of crystalline Ti2BrO at its relaxed geometry.

Total energy in eV/f.u.: -24.627
SG: Fm-3m
D(E_F) in states/eV per atom: 1.937
Offset from the most stable computed form in meV/atom: 565.7
ΔE_f (raw) in kcal/mol of atoms: -12.72
Volume in Å³/atom: 13.6

Cell and atoms, written as POSCAR:
```
Ti2BrO
1.0
0.0000 3.0065 3.0065
3.0065 0.0000 3.0065
3.0065 3.0065 0.0000
Ti Br O
2 1 1
Direct
0.2500 0.2500 0.2500
0.7500 0.7500 0.7500
0.0000 0.0000 0.0000
0.5000 0.5000 0.5000
```

The following is a DFT calculation (PBE) of crystalline TiBrO at its relaxed geometry.

Total energy in eV/f.u.: -18.376
SG: P2/m
D(E_F) in states/eV per atom: 0.552
ΔE_f (raw) in kcal/mol of atoms: -29.59
Volume in Å³/atom: 21.9

Cell and atoms, written as POSCAR:
```
TiBrO
1.0
7.7253 0.0000 0.0000
0.0000 3.3993 0.0000
-3.1093 0.0000 9.9990
Ti Br O
4 4 4
Direct
0.0786 0.0000 0.3919
0.3589 0.0000 0.7596
0.6411 0.0000 0.2404
0.9214 0.0000 0.6081
0.0920 0.0000 0.8572
0.3735 0.0000 0.3317
0.6265 0.0000 0.6683
0.9080 0.0000 0.1428
0.1624 0.0000 0.5848
0.4992 0.0000 0.9350
0.5008 0.0000 0.0650
0.8376 0.0000 0.4152
```

The following is a DFT calculation (PBE) of crystalline Ti4BrO7 at its relaxed geometry.

Total energy in eV/f.u.: -101.312
SG: Pmn2_1
D(E_F) in states/eV per atom: 0.240
ΔE_f (raw) in kcal/mol of atoms: -64.09
Volume in Å³/atom: 18.0

Cell and atoms, written as POSCAR:
```
Ti4BrO7
1.0
14.5663 0.0000 0.0000
0.0000 5.4467 0.0000
0.0000 0.0000 5.4552
Ti Br O
8 2 14
Direct
0.1110 0.1760 0.0000
0.2320 0.6014 0.0143
0.2680 0.3986 0.5143
0.3890 0.8240 0.5000
0.6110 0.8240 0.5000
0.7320 0.3986 0.5143
0.7680 0.6014 0.0143
0.8890 0.1760 0.0000
0.0000 0.9660 0.6635
0.5000 0.0340 0.1635
0.0000 0.2808 0.1144
0.1606 0.8639 0.0495
0.1732 0.3708 0.7668
0.1850 0.3398 0.2457
0.3150 0.6602 0.7457
0.3268 0.6292 0.2668
0.3394 0.1361 0.5495
0.5000 0.7192 0.6144
0.6606 0.1361 0.5495
0.6732 0.6292 0.2668
0.6850 0.6602 0.7457
0.8150 0.3398 0.2457
0.8268 0.3708 0.7668
0.8394 0.8639 0.0495
```

The following is a DFT calculation (PBE) of crystalline TiBr3O at its relaxed geometry.

Total energy in eV/f.u.: -15.036
SG: Pm-3m
D(E_F) in states/eV per atom: 2.699
ΔE_f (raw) in kcal/mol of atoms: 13.08
Volume in Å³/atom: 21.1

Cell and atoms, written as POSCAR:
```
TiBr3O
1.0
4.7240 0.0000 0.0000
0.0000 4.7240 0.0000
0.0000 0.0000 4.7240
Ti Br O
1 3 1
Direct
0.0000 0.0000 0.0000
0.0000 0.5000 0.5000
0.5000 0.0000 0.5000
0.5000 0.5000 0.0000
0.5000 0.5000 0.5000
```

The following is a DFT calculation (PBE) of crystalline TiBrO2 at its relaxed geometry.

Total energy in eV/f.u.: -27.590
SG: R-3m
D(E_F) in states/eV per atom: 0.257
Offset from the most stable computed form in meV/atom: 0.0
ΔE_f (raw) in kcal/mol of atoms: -46.73
Volume in Å³/atom: 16.2

Cell and atoms, written as POSCAR:
```
TiBrO2
1.0
1.4861 0.8580 8.4942
-1.4861 0.8580 8.4942
0.0000 -1.7160 8.4942
Ti Br O
1 1 2
Direct
0.0000 0.0000 0.0000
0.5000 0.5000 0.5000
0.3716 0.3716 0.3716
0.6284 0.6284 0.6284
```

The following is a DFT calculation (PBE) of crystalline TiBrO3 at its relaxed geometry.

Total energy in eV/f.u.: -23.215
SG: Pm-3m
D(E_F) in states/eV per atom: 0.497
ΔE_f (raw) in kcal/mol of atoms: 5.66
Volume in Å³/atom: 12.8

Cell and atoms, written as POSCAR:
```
TiBrO3
1.0
4.0023 0.0000 0.0000
0.0000 4.0023 0.0000
0.0000 0.0000 4.0023
Ti Br O
1 1 3
Direct
0.0000 0.0000 0.0000
0.5000 0.5000 0.5000
0.0000 0.5000 0.5000
0.5000 0.0000 0.5000
0.5000 0.5000 0.0000
```

The following is a DFT calculation (PBE) of crystalline TiBr3O at its relaxed geometry.

Total energy in eV/f.u.: -18.892
SG: Pm-3m
D(E_F) in states/eV per atom: 2.554
ΔE_f (raw) in kcal/mol of atoms: -4.70
Volume in Å³/atom: 26.2

Cell and atoms, written as POSCAR:
```
TiBr3O
1.0
5.0813 0.0000 0.0000
0.0000 5.0813 0.0000
0.0000 0.0000 5.0813
Ti Br O
1 3 1
Direct
0.0000 0.0000 0.0000
0.0000 0.0000 0.5000
0.0000 0.5000 0.0000
0.5000 0.0000 0.0000
0.5000 0.5000 0.5000
```

The following is a DFT calculation (PBE) of crystalline TiBr2O2 at its relaxed geometry.

Total energy in eV/f.u.: -20.420
SG: P4/mbm
D(E_F) in states/eV per atom: 1.317
Offset from the most stable computed form in meV/atom: 0.0
ΔE_f (raw) in kcal/mol of atoms: 3.40
Volume in Å³/atom: 19.0

Cell and atoms, written as POSCAR:
```
TiBr2O2
1.0
6.8881 0.0000 0.0000
0.0000 6.8881 0.0000
0.0000 0.0000 4.0145
Ti Br O
2 4 4
Direct
0.0000 0.0000 0.0000
0.5000 0.5000 0.0000
0.1723 0.3277 0.0000
0.3277 0.8277 0.0000
0.6723 0.1723 0.0000
0.8277 0.6723 0.0000
0.2304 0.2696 0.5000
0.2696 0.7696 0.5000
0.7304 0.2304 0.5000
0.7696 0.7304 0.5000
```

The following is a DFT calculation (PBE) of crystalline TiBrO at its relaxed geometry.

Total energy in eV/f.u.: -20.879
SG: Pmmn
D(E_F) in states/eV per atom: 0.567
ΔE_f (raw) in kcal/mol of atoms: -48.84
Volume in Å³/atom: 20.3

Cell and atoms, written as POSCAR:
```
TiBrO
1.0
3.3987 0.0000 0.0000
0.0000 4.1100 0.0000
0.0000 0.0000 8.7139
Ti Br O
2 2 2
Direct
0.2500 0.2500 0.0678
0.7500 0.7500 0.9322
0.2500 0.7500 0.7037
0.7500 0.2500 0.2963
0.2500 0.7500 0.0590
0.7500 0.2500 0.9410
```

The following is a DFT calculation (PBE) of crystalline TiBrO at its relaxed geometry.

Total energy in eV/f.u.: -19.294
SG: Pmma
D(E_F) in states/eV per atom: 0.908
ΔE_f (raw) in kcal/mol of atoms: -36.65
Volume in Å³/atom: 17.4

Cell and atoms, written as POSCAR:
```
TiBrO
1.0
3.5769 0.0000 0.0000
0.0000 2.7824 0.0000
0.0000 0.0000 10.4895
Ti Br O
2 2 2
Direct
0.2500 0.0000 0.0945
0.7500 0.0000 0.9055
0.2500 0.5000 0.3102
0.7500 0.5000 0.6898
0.2500 0.5000 0.9286
0.7500 0.5000 0.0714
```

The following is a DFT calculation (PBE) of crystalline TiBrO3 at its relaxed geometry.

Total energy in eV/f.u.: -30.126
SG: Pm-3m
D(E_F) in states/eV per atom: 1.024
ΔE_f (raw) in kcal/mol of atoms: -26.21
Volume in Å³/atom: 11.9

Cell and atoms, written as POSCAR:
```
TiBrO3
1.0
3.9018 0.0000 0.0000
0.0000 3.9018 0.0000
0.0000 0.0000 3.9018
Ti Br O
1 1 3
Direct
0.0000 0.0000 0.0000
0.5000 0.5000 0.5000
0.0000 0.0000 0.5000
0.0000 0.5000 0.0000
0.5000 0.0000 0.0000
```